Rb2TcSBr6 | PBE | relaxed

a = 8.2189 Å, b = 8.2189 Å, c = 10.2255 Å
α = 90.00°, β = 90.00°, γ = 90.00°
Last column: nearest neighbours and their distance in Å.
Space group I4/mmm (No. 139)
Inequivalent atoms, fractional coordinates:
Rb 0.0000 0.5000 0.2500 (multiplicity 4)  12 Br 3.89-4.11
Tc 0.0000 0.0000 0.0000 (multiplicity 2)  6 Br 2.55-2.62
S 0.0000 0.0000 0.5000 (multiplicity 2)  2 Br 2.50
Br 0.0000 0.0000 0.2560 (multiplicity 4)  1 S 2.50, 1 Tc 2.62
Br 0.2195 0.2195 0.0000 (multiplicity 8)  1 Tc 2.55

## Properties
For the uncorrected formation energy, the calculation gives -0.681 eV/atom. The magnetization comes out at 2.86 μB per formula unit. The density of states at the Fermi level comes out at 0.33 states/eV/atom.



ZnMo2I | PBE | relaxed

a = 6.4564 Å, b = 6.4564 Å, c = 6.4564 Å
α = 90.00°, β = 90.00°, γ = 90.00°
Last column: nearest neighbours and their distance in Å.
Space group Fm-3m (No. 225)
Inequivalent atoms, fractional coordinates:
Zn 0.0000 0.0000 0.0000 (multiplicity 4)  8 Mo 2.80
Mo 0.2500 0.2500 0.2500 (multiplicity 8)  4 I 2.80, 4 Zn 2.80
I 0.0000 0.0000 0.5000 (multiplicity 4)  8 Mo 2.80

## Properties
For the uncorrected formation energy, the calculation gives 0.855 eV/atom. The magnetization comes out at 0.00 μB per formula unit. The density of states at the Fermi level comes out at 1.17 states/eV/atom.



Ca3NbH | PBE | relaxed

a = 5.5910 Å, b = 5.5910 Å, c = 5.5910 Å
α = 90.00°, β = 90.00°, γ = 90.00°
Last column: nearest neighbours and their distance in Å.
Space group Pm-3m (No. 221)
Inequivalent atoms, fractional coordinates:
Ca 0.0000 0.0000 0.5000 (multiplicity 3)  2 Nb 2.80
Nb 0.0000 0.0000 0.0000 (multiplicity 1)  6 Ca 2.80
H 0.5000 0.5000 0.5000 (multiplicity 1)  12 Ca 3.95

## Properties
The magnetization comes out at 0.14 μB per formula unit. The value obtained for the calculated total energy is -0.0966 hartree per atom. The density of states at the Fermi level comes out at 1.32 states/eV/atom.



Na2ErNpO4 | PBE | relaxed

a = 5.9654 Å, b = 3.4424 Å, c = 5.9826 Å
α = 90.00°, β = 109.54°, γ = 90.00°
Last column: nearest neighbours and their distance in Å.
Space group P2/m (No. 10)
Inequivalent atoms, fractional coordinates:
Na 0.0000 0.0000 0.0000 (multiplicity 1)  6 O 2.54
Na 0.5000 0.5000 0.0000 (multiplicity 1)  6 O 2.58
Er 0.0000 0.5000 0.5000 (multiplicity 1)  6 O 2.30-2.31
Np 0.5000 0.0000 0.5000 (multiplicity 1)  6 O 2.35
O 0.2312 0.0000 0.7123 (multiplicity 2)  2 Er 2.30, 1 Np 2.35, 3 Na 2.54-2.58
O 0.2556 0.5000 0.2837 (multiplicity 2)  1 Er 2.31, 2 Np 2.35, 3 Na 2.54-2.58

## Properties
For the uncorrected formation energy, the calculation gives -2.500 eV/atom. The magnetization comes out at 4.00 μB per formula unit. The density of states at the Fermi level comes out at 1.00 states/eV/atom.